The following is a meta-GGA SCAN calculation of TaHgP2Cl at its PBEsol-relaxed geometry, from Alexandria via LeMat-Bulk.

Space-group type: P4/mmm
Formation energy without anion corrections, eV per atom: 0.018
Magnetization, Bohr magnetons per cell: 0.0
Calculated total energy, eV per atom: -32.686

Unit cell a=4.820 b=4.820 c=4.785 alpha=90.00 beta=90.00 gamma=90.00
Sites, in units of the cell vectors:
Ta 0.000 0.000 0.000
Hg 0.500 0.500 0.500
P 0.000 0.500 0.000
P 0.500 0.000 0.000
Cl 0.000 0.000 0.500